Li4Ti3Mn2Fe3O16 after structural relaxation, computed with PBE with a Hubbard U.

Results
Crystal system: monoclinic
Symmetry: Cm, No. 8
Energy (eV for the cell shown): -201.2
V (Å³/atom): 10.503

Geometry as extended XYZ:
```
28
Lattice="2.950 5.195 0.008 -2.950 5.195 0.008 0.000 0.366 9.596" Properties=species:S:1:pos:R:3 pbc="T T T"
Li 0.000 6.999 1.052
Li 0.000 10.241 0.125
Li 0.000 0.189 4.812
Li 0.000 3.667 5.759
Ti 1.476 6.295 7.548
Ti -1.476 6.295 7.548
Ti 0.000 1.967 2.735
Mn 0.000 7.147 4.944
Mn 0.000 3.530 0.183
Fe 0.000 8.848 7.540
Fe 1.425 4.515 2.796
Fe -1.425 4.515 2.796
O 1.464 6.299 3.889
O 0.000 5.637 6.307
O 0.000 7.106 8.583
O 0.000 10.607 6.604
O 0.000 0.206 1.891
O -1.464 6.299 3.889
O 1.299 7.852 6.301
O -1.299 7.852 6.301
O 0.000 1.886 8.522
O 0.000 8.827 3.912
O 1.283 2.812 1.512
O -1.283 2.812 1.512
O 0.000 3.556 3.833
O 1.474 4.624 8.599
O 0.000 5.177 1.613
O -1.474 4.624 8.599
```